{
  "formula": "Ba2TaTlCo",
  "functional": "GGA-PBEsol",
  "state": "relaxed",
  "mass_density_g_cm3": 7.5,
  "dos_at_fermi_per_ev_cell": 6.1,
  "magnetic_moment_mub_per_fu": 0.9,
  "dft_energy_ev_per_cell": -24.2,
  "spacegroup": "P4/mmm, No. 123",
  "lattice_angstrom": [[5.983, 0.000, 0.000], [0.000, 5.983, 0.000], [0.000, 0.000, 4.468]],
  "species": ["Ba", "Ba", "Ta", "Tl", "Co"],
  "frac_coords": [[0.000, 0.500, 0.000], [0.500, 0.000, 0.000], [0.000, 0.000, 0.500], [0.500, 0.500, 0.500], [0.000, 0.000, 0.000]]
}

---

{
  "formula": "MoAs2F",
  "functional": "GGA-PBEsol",
  "state": "relaxed",
  "e_form_raw_kj_per_mol_fu": -34,
  "mass_density_g_cm3": 7.5,
  "dos_at_fermi_per_ev_cell": 3.3,
  "magnetic_moment_mub_per_fu": 1.0,
  "dft_energy_ev_per_cell": -24.3,
  "spacegroup": "Fm-3m, No. 225",
  "lattice_angstrom": [[0.000, 3.085, 3.085], [3.085, 0.000, 3.085], [3.085, 3.085, 0.000]],
  "species": ["Mo", "As", "As", "F"],
  "frac_coords": [[0.000, 0.000, 0.000], [0.250, 0.250, 0.250], [0.750, 0.750, 0.750], [0.500, 0.500, 0.500]]
}

---

{
  "formula": "Nb3SnO",
  "functional": "GGA-PBEsol",
  "state": "relaxed",
  "e_form_raw_kj_per_mol_fu": -386,
  "mass_density_g_cm3": 8.8,
  "dos_at_fermi_per_ev_cell": 3.1,
  "magnetic_moment_mub_per_fu": 0.0,
  "dft_energy_ev_per_cell": -46.0,
  "spacegroup": "Pm-3m, No. 221",
  "lattice_angstrom": [[4.278, 0.000, 0.000], [0.000, 4.278, 0.000], [0.000, 0.000, 4.278]],
  "species": ["Nb", "Nb", "Nb", "Sn", "O"],
  "frac_coords": [[0.000, 0.000, 0.500], [0.000, 0.500, 0.000], [0.500, 0.000, 0.000], [0.500, 0.500, 0.500], [0.000, 0.000, 0.000]]
}

---

{
  "formula": "HgGe3Pd",
  "functional": "GGA-PBEsol",
  "state": "relaxed",
  "mass_density_g_cm3": 7.8,
  "dos_at_fermi_per_ev_cell": 1.4,
  "magnetic_moment_mub_per_fu": 0.0,
  "dft_energy_ev_per_cell": -19.9,
  "spacegroup": "Pm-3m, No. 221",
  "lattice_angstrom": [[4.813, 0.000, 0.000], [0.000, 4.813, 0.000], [0.000, 0.000, 4.813]],
  "species": ["Hg", "Ge", "Ge", "Ge", "Pd"],
  "frac_coords": [[0.000, 0.000, 0.000], [0.000, 0.500, 0.500], [0.500, 0.000, 0.500], [0.500, 0.500, 0.000], [0.500, 0.500, 0.500]]
}